No. 1
Material: CaCeSn6
Method: DFT, PBE
State: optimized geometry

Lattice parameters (Å, degrees): 4.724 4.724 9.582 90.00 90.00 90.00
Atoms (fractional coordinates):
Ca: 0.000 0.000 0.000
Ce: 0.000 0.000 0.500
Sn: 0.000 0.500 0.250
Sn: 0.000 0.500 0.750
Sn: 0.500 0.000 0.250
Sn: 0.500 0.000 0.750
Sn: 0.500 0.500 0.000
Sn: 0.500 0.500 0.500

Computed properties:
Formation energy from the elements ... -0.4510 eV/atom
Total magnetization ... 0.64 μB per formula unit
Calculated total energy ... -35.6 eV for the cell shown
Density of states at the Fermi level ... 7.4 states/eV/f.u.

No. 2
Material: LiCa2Sm3S6
Method: DFT, PBE
State: optimized geometry

Lattice parameters (Å, degrees): 6.888 6.888 6.962 99.49 99.49 120.00
Atoms (fractional coordinates):
Li: 0.000 0.000 0.000
Ca: 0.333 0.667 0.000
Ca: 0.667 0.333 0.000
Sm: 0.167 0.833 0.500
Sm: 0.500 0.500 0.500
Sm: 0.833 0.167 0.500
S: 0.082 0.411 0.247
S: 0.247 0.247 0.753
S: 0.411 0.082 0.247
S: 0.589 0.918 0.753
S: 0.753 0.753 0.247
S: 0.918 0.589 0.753

Computed properties:
Total magnetization ... 0.00 μB per formula unit
Calculated total energy ... -68.6 eV for the cell shown
Density of states at the Fermi level ... 2.7 states/eV/f.u.
Formation energy from raw total energies ... -1.984 eV per atom

No. 3
Material: NiPIr
Method: DFT, PBE
State: optimized geometry

Lattice parameters (Å, degrees): 3.967 3.967 3.967 60.00 60.00 60.00
Atoms (fractional coordinates):
Ni: 0.000 0.000 0.000
P: 0.500 0.500 0.500
Ir: 0.750 0.750 0.750

Computed properties:
Formation energy from the elements ... -0.1081 eV/atom
Total magnetization ... 0.00 μB per formula unit
Calculated total energy ... -20.4 eV for the cell shown
Density of states at the Fermi level ... 1.7 states/eV/f.u.

No. 4
Material: Er3Si4Au
Method: DFT, PBE
State: optimized geometry

Lattice parameters (Å, degrees): 8.140 8.140 8.140 150.30 138.79 51.61
Atoms (fractional coordinates):
Er: 0.000 0.000 0.000
Er: 0.307 0.807 0.500
Er: 0.693 0.193 0.500
Si: 0.080 0.376 0.704
Si: 0.327 0.624 0.704
Si: 0.673 0.376 0.296
Si: 0.920 0.624 0.296
Au: 0.500 0.500 0.000

Computed properties:
Total magnetization ... 0.00 μB per formula unit
Calculated total energy ... -43.1 eV for the cell shown
Density of states at the Fermi level ... 3.1 states/eV/f.u.
Formation energy from raw total energies ... -0.561 eV per atom